(w)
# ScOsCl2 (PBE-GGA, optimized geometry)
# Fermi-level density of states, states/eV per cell: 2.443
data_ScOsCl2
_chemical_formula_sum 'Sc1 Os1 Cl2'
_cell_length_a 3.4695
_cell_length_b 3.4696
_cell_length_c 6.9104
_cell_angle_alpha 90.00
_cell_angle_beta 90.00
_cell_angle_gamma 90.00
_symmetry_space_group_name_H-M 'P 1'
_symmetry_Int_Tables_number 1
_symmetry_space_group_name_Hall 'P 1'
loop_
_atom_site_label
_atom_site_type_symbol
_atom_site_fract_x
_atom_site_fract_y
_atom_site_fract_z
_atom_site_occupancy
Sc1 Sc 0.5000 0.5000 0.7210 1
Os1 Os 0.0000 0.0000 0.5590 1
Cl1 Cl 0.0000 0.0000 0.9047 1
Cl2 Cl 0.5000 0.5000 0.3154 1


(x)
# ScOsCl2 (PBE-GGA, optimized geometry)
# Fermi-level density of states, states/eV per cell: 2.837
data_ScOsCl2
_chemical_formula_sum 'Sc1 Os1 Cl2'
_cell_length_a 2.9893
_cell_length_b 5.5107
_cell_length_c 4.2245
_cell_angle_alpha 90.00
_cell_angle_beta 90.00
_cell_angle_gamma 90.00
_symmetry_space_group_name_H-M 'P 1'
_symmetry_Int_Tables_number 1
_symmetry_space_group_name_Hall 'P 1'
loop_
_atom_site_label
_atom_site_type_symbol
_atom_site_fract_x
_atom_site_fract_y
_atom_site_fract_z
_atom_site_occupancy
Sc1 Sc 0.0000 0.5000 0.5000 1
Os1 Os 0.5000 0.0000 0.5000 1
Cl1 Cl 0.0000 0.0000 0.0000 1
Cl2 Cl 0.5000 0.5000 0.0000 1


Energy above the most stable structure, in eV/atom: (w) 0.000; (x) 0.223


(w)
# Ca2YAu (PBE-GGA, optimized geometry)
# Fermi-level density of states, states/eV per cell: 5.719
data_Ca2YAu
_chemical_formula_sum 'Ca2 Y1 Au1'
_cell_length_a 3.6162
_cell_length_b 3.6192
_cell_length_c 9.9834
_cell_angle_alpha 68.76
_cell_angle_beta 90.00
_cell_angle_gamma 90.00
_symmetry_space_group_name_H-M 'P 1'
_symmetry_Int_Tables_number 1
_symmetry_space_group_name_Hall 'P 1'
loop_
_atom_site_label
_atom_site_type_symbol
_atom_site_fract_x
_atom_site_fract_y
_atom_site_fract_z
_atom_site_occupancy
Y1 Y 0.5000 0.2500 0.2500 1
Ca1 Ca 0.0000 0.0570 0.9434 1
Ca2 Ca 0.0000 0.4430 0.5566 1
Au1 Au 0.5000 0.7500 0.7500 1


(x)
# Ca2YAu (PBE-GGA, optimized geometry)
# Fermi-level density of states, states/eV per cell: 4.048
data_Ca2YAu
_chemical_formula_sum 'Ca2 Y1 Au1'
_cell_length_a 6.8352
_cell_length_b 6.8352
_cell_length_c 6.8352
_cell_angle_alpha 148.17
_cell_angle_beta 133.79
_cell_angle_gamma 57.20
_symmetry_space_group_name_H-M 'P 1'
_symmetry_Int_Tables_number 1
_symmetry_space_group_name_Hall 'P 1'
loop_
_atom_site_label
_atom_site_type_symbol
_atom_site_fract_x
_atom_site_fract_y
_atom_site_fract_z
_atom_site_occupancy
Y1 Y 0.7500 0.2500 0.5000 1
Ca1 Ca 0.0542 0.0542 0.0000 1
Ca2 Ca 0.4458 0.4458 0.0000 1
Au1 Au 0.2500 0.7500 0.5000 1


Energy above the most stable structure, in eV/atom: (w) 0.006; (x) 0.000


(w)
# BaCo2Ni (PBE-GGA, optimized geometry)
# Fermi-level density of states, states/eV per cell: 4.574
data_BaCo2Ni
_chemical_formula_sum 'Ba1 Co2 Ni1'
_cell_length_a 3.9395
_cell_length_b 4.5914
_cell_length_c 5.0063
_cell_angle_alpha 89.70
_cell_angle_beta 90.00
_cell_angle_gamma 90.00
_symmetry_space_group_name_H-M 'P 1'
_symmetry_Int_Tables_number 1
_symmetry_space_group_name_Hall 'P 1'
loop_
_atom_site_label
_atom_site_type_symbol
_atom_site_fract_x
_atom_site_fract_y
_atom_site_fract_z
_atom_site_occupancy
Ba1 Ba 0.5000 0.7402 0.7501 1
Co1 Co 0.0000 0.0002 0.2489 1
Co2 Co 0.5000 0.2416 0.2501 1
Ni1 Ni 0.0000 0.5179 0.2509 1


(x)
# BaCo2Ni (PBE-GGA, optimized geometry)
# Fermi-level density of states, states/eV per cell: 5.068
data_BaCo2Ni
_chemical_formula_sum 'Ba1 Co2 Ni1'
_cell_length_a 4.0729
_cell_length_b 4.1810
_cell_length_c 5.2084
_cell_angle_alpha 78.14
_cell_angle_beta 90.00
_cell_angle_gamma 90.00
_symmetry_space_group_name_H-M 'P 1'
_symmetry_Int_Tables_number 1
_symmetry_space_group_name_Hall 'P 1'
loop_
_atom_site_label
_atom_site_type_symbol
_atom_site_fract_x
_atom_site_fract_y
_atom_site_fract_z
_atom_site_occupancy
Ba1 Ba 0.5000 0.7500 0.7500 1
Co1 Co 0.0000 0.0127 0.1720 1
Co2 Co 0.0000 0.4873 0.3280 1
Ni1 Ni 0.5000 0.2500 0.2500 1


Energy above the most stable structure, in eV/atom: (w) 0.000; (x) 0.016


(w)
# VZnH (PBE-GGA, optimized geometry)
# Fermi-level density of states, states/eV per cell: 2.222
data_VZnH
_chemical_formula_sum 'V1 Zn1 H1'
_cell_length_a 2.5714
_cell_length_b 2.5714
_cell_length_c 5.1848
_cell_angle_alpha 104.36
_cell_angle_beta 104.36
_cell_angle_gamma 90.00
_symmetry_space_group_name_H-M 'P 1'
_symmetry_Int_Tables_number 1
_symmetry_space_group_name_Hall 'P 1'
loop_
_atom_site_label
_atom_site_type_symbol
_atom_site_fract_x
_atom_site_fract_y
_atom_site_fract_z
_atom_site_occupancy
H1 H 0.2774 0.2774 0.5547 1
Zn1 Zn 0.0021 0.0021 0.0042 1
V1 V 0.7205 0.7205 0.4411 1


(x)
# VZnH (PBE-GGA, optimized geometry)
# Fermi-level density of states, states/eV per cell: 2.177
data_VZnH
_chemical_formula_sum 'V2 Zn2 H2'
_cell_length_a 2.6942
_cell_length_b 5.1871
_cell_length_c 4.4596
_cell_angle_alpha 90.00
_cell_angle_beta 96.26
_cell_angle_gamma 90.00
_symmetry_space_group_name_H-M 'P 1'
_symmetry_Int_Tables_number 1
_symmetry_space_group_name_Hall 'P 1'
loop_
_atom_site_label
_atom_site_type_symbol
_atom_site_fract_x
_atom_site_fract_y
_atom_site_fract_z
_atom_site_occupancy
H1 H 0.5767 0.6834 0.0312 1
H2 H 0.5767 0.3166 0.0312 1
Zn1 Zn 0.8441 0.2418 0.6400 1
Zn2 Zn 0.8441 0.7582 0.6400 1
V1 V 0.1177 0.5000 0.1846 1
V2 V 0.4419 0.0000 0.1437 1


Energy above the most stable structure, in eV/atom: (w) 0.083; (x) 0.000


(w)
# ZnTc (PBE-GGA, optimized geometry)
# Fermi-level density of states, states/eV per cell: 1.777
data_ZnTc
_chemical_formula_sum 'Zn2 Tc2'
_cell_length_a 5.0279
_cell_length_b 5.0279
_cell_length_c 5.0279
_cell_angle_alpha 48.77
_cell_angle_beta 48.77
_cell_angle_gamma 48.77
_symmetry_space_group_name_H-M 'P 1'
_symmetry_Int_Tables_number 1
_symmetry_space_group_name_Hall 'P 1'
loop_
_atom_site_label
_atom_site_type_symbol
_atom_site_fract_x
_atom_site_fract_y
_atom_site_fract_z
_atom_site_occupancy
Tc1 Tc 0.3220 0.3220 0.3220 1
Tc2 Tc 0.6780 0.6780 0.6780 1
Zn1 Zn 0.1180 0.1180 0.1180 1
Zn2 Zn 0.8820 0.8820 0.8820 1


(x)
# ZnTc (PBE-GGA, optimized geometry)
# Fermi-level density of states, states/eV per cell: 3.285
data_ZnTc
_chemical_formula_sum 'Zn3 Tc3'
_cell_length_a 5.8672
_cell_length_b 5.8672
_cell_length_c 5.3999
_cell_angle_alpha 76.76
_cell_angle_beta 76.76
_cell_angle_gamma 28.64
_symmetry_space_group_name_H-M 'P 1'
_symmetry_Int_Tables_number 1
_symmetry_space_group_name_Hall 'P 1'
loop_
_atom_site_label
_atom_site_type_symbol
_atom_site_fract_x
_atom_site_fract_y
_atom_site_fract_z
_atom_site_occupancy
Zn1 Zn 0.3115 0.3115 0.3770 1
Zn2 Zn 0.9640 0.9640 0.5637 1
Zn3 Zn 0.3006 0.3006 0.8982 1
Tc1 Tc 0.9862 0.9862 0.0463 1
Tc2 Tc 0.6339 0.6339 0.2417 1
Tc3 Tc 0.6371 0.6371 0.7064 1


Energy above the most stable structure, in eV/atom: (w) 0.157; (x) 0.000


(w)
# TaSbMo (PBE-GGA, optimized geometry)
# Fermi-level density of states, states/eV per cell: 8.876
data_TaSbMo
_chemical_formula_sum 'Ta4 Sb4 Mo4'
_cell_length_a 6.0999
_cell_length_b 3.3852
_cell_length_c 11.5832
_cell_angle_alpha 90.00
_cell_angle_beta 108.11
_cell_angle_gamma 90.00
_symmetry_space_group_name_H-M 'P 1'
_symmetry_Int_Tables_number 1
_symmetry_space_group_name_Hall 'P 1'
loop_
_atom_site_label
_atom_site_type_symbol
_atom_site_fract_x
_atom_site_fract_y
_atom_site_fract_z
_atom_site_occupancy
Ta1 Ta 0.0927 0.0000 0.1569 1
Ta2 Ta 0.9073 0.0000 0.8431 1
Ta3 Ta 0.0927 0.5000 0.6569 1
Ta4 Ta 0.9073 0.5000 0.3431 1
Sb1 Sb 0.4269 0.0000 0.8494 1
Sb2 Sb 0.5731 0.0000 0.1506 1
Sb3 Sb 0.4269 0.5000 0.3494 1
Sb4 Sb 0.5731 0.5000 0.6506 1
Mo1 Mo 0.7737 0.0000 0.5243 1
Mo2 Mo 0.2263 0.0000 0.4757 1
Mo3 Mo 0.7737 0.5000 0.0243 1
Mo4 Mo 0.2263 0.5000 0.9757 1


(x)
# TaSbMo (PBE-GGA, optimized geometry)
# Fermi-level density of states, states/eV per cell: 10.039
data_TaSbMo
_chemical_formula_sum 'Ta4 Sb4 Mo4'
_cell_length_a 3.2745
_cell_length_b 4.3399
_cell_length_c 18.6355
_cell_angle_alpha 90.00
_cell_angle_beta 90.00
_cell_angle_gamma 90.00
_symmetry_space_group_name_H-M 'P 1'
_symmetry_Int_Tables_number 1
_symmetry_space_group_name_Hall 'P 1'
loop_
_atom_site_label
_atom_site_type_symbol
_atom_site_fract_x
_atom_site_fract_y
_atom_site_fract_z
_atom_site_occupancy
Ta1 Ta 0.0000 0.0000 0.4131 1
Ta2 Ta 0.0000 0.5000 0.9131 1
Ta3 Ta 0.0000 0.0000 0.7903 1
Ta4 Ta 0.0000 0.5000 0.2903 1
Sb1 Sb 0.0000 0.0000 0.1702 1
Sb2 Sb 0.0000 0.5000 0.6702 1
Sb3 Sb 0.5000 0.0000 0.5391 1
Sb4 Sb 0.5000 0.5000 0.0391 1
Mo1 Mo 0.5000 0.0000 0.2916 1
Mo2 Mo 0.5000 0.5000 0.7916 1
Mo3 Mo 0.5000 0.0000 0.9192 1
Mo4 Mo 0.5000 0.5000 0.4192 1


Energy above the most stable structure, in eV/atom: (w) 0.000; (x) 0.021